(1)
This record from Alexandria describes a relaxed structure of Hf2WSe. The functional is PBE-GGA.

The space group is I-42d. The calculated volume comes out at 27.6 Å³ per atom. Its formation energy (no corrections) is 0.8998 eV/atom.

abc: 5.806 5.806 7.735
angles: 67.96 67.96 90.00
Element x y z (fractional)
Se: 0.250 0.750 0.500
Se: 0.500 0.500 0.000
W: 0.750 0.250 0.500
W: 0.000 0.000 0.000
Hf: 0.375 0.358 0.750
Hf: 0.642 0.125 0.250
Hf: 0.108 0.625 0.250
Hf: 0.875 0.892 0.750

(2)
This record from Alexandria describes a relaxed structure of HfWSe2. The functional is PBE-GGA.

The space group is I-42d. The calculated volume comes out at 21.3 Å³ per atom. As for the offset from the most stable computed form: 199 meV per atom. Its formation energy (no corrections) is 0.0907 eV/atom.

abc: 4.598 4.598 8.677
angles: 74.64 74.64 90.00
Element x y z (fractional)
Se: 0.101 0.625 0.250
Se: 0.649 0.125 0.250
Se: 0.375 0.351 0.750
Se: 0.875 0.899 0.750
Hf: 0.250 0.750 0.500
Hf: 0.500 0.500 0.000
W: 0.000 0.000 0.000
W: 0.750 0.250 0.500

(3)
This record from Alexandria describes a relaxed structure of Hf9W4Se. The functional is PBE-GGA.

The space group is P6_3/mmc. The calculated volume comes out at 20.5 Å³ per atom. Its formation energy (no corrections) is -0.2492 eV/atom.

abc: 8.744 8.744 8.651
angles: 90.00 90.00 120.00
Element x y z (fractional)
W: 0.000 0.000 0.000
W: 0.110 0.890 0.750
W: 0.890 0.779 0.250
W: 0.000 0.000 0.500
W: 0.890 0.110 0.250
W: 0.110 0.221 0.750
W: 0.779 0.890 0.750
W: 0.221 0.110 0.250
Hf: 0.087 0.543 0.750
Hf: 0.613 0.807 0.048
Hf: 0.193 0.807 0.048
Hf: 0.807 0.613 0.548
Hf: 0.457 0.543 0.750
Hf: 0.807 0.193 0.548
Hf: 0.387 0.193 0.548
Hf: 0.807 0.613 0.952
Hf: 0.613 0.807 0.452
Hf: 0.543 0.087 0.250
Hf: 0.543 0.457 0.250
Hf: 0.807 0.193 0.952
Hf: 0.193 0.807 0.452
Hf: 0.193 0.387 0.452
Hf: 0.457 0.913 0.750
Hf: 0.387 0.193 0.952
Hf: 0.913 0.457 0.250
Hf: 0.193 0.387 0.048
Se: 0.333 0.667 0.250
Se: 0.667 0.333 0.750

> The lowest calculated volume belongs to which entry?

Hf9W4Se

Please write out number 2 again, unchanged.
This record from Alexandria describes a relaxed structure of HfWSe2. The functional is PBE-GGA.

The space group is I-42d. The calculated volume comes out at 21.3 Å³ per atom. As for the offset from the most stable computed form: 199 meV per atom. Its formation energy (no corrections) is 0.0907 eV/atom.

abc: 4.598 4.598 8.677
angles: 74.64 74.64 90.00
Element x y z (fractional)
Se: 0.101 0.625 0.250
Se: 0.649 0.125 0.250
Se: 0.375 0.351 0.750
Se: 0.875 0.899 0.750
Hf: 0.250 0.750 0.500
Hf: 0.500 0.500 0.000
W: 0.000 0.000 0.000
W: 0.750 0.250 0.500